Below is an optimized crystal structure of ScTcNi2, with properties calculated at the PBE level.

Computed properties:
Its uncorrected energy is -7.2001 eV per atom. Its space group is No. 10. The formation energy is -135 meV per atom. The magnetic moment is 0.0 μB per formula unit.

Cell lengths 3.773, 2.715, 6.094 Å; angles 63.22, 90.00, 90.00 degrees
Element x y z (fractional)
1 Ni 0.000 0.023 0.977
2 Ni 0.000 0.477 0.523
3 Sc 0.500 0.250 0.250
4 Tc 0.500 0.750 0.750